No. 1
CdIn2Rh3 | PBE | optimized geometry

Calculated values
- calculated volume (Å³/atom) = 16.882
- symmetry = P4/mmm, No. 123
- calculated formation energy (eV/atom) = -0.36
- raw total energy (Ry per atom) = -0.3746

Geometry as CIF:
```
data_CdIn2Rh3
_chemical_formula_sum 'Cd1 In2 Rh3'
_cell_length_a 3.226
_cell_length_b 3.226
_cell_length_c 9.732
_cell_angle_alpha 90.00
_cell_angle_beta 90.00
_cell_angle_gamma 90.00
_space_group_name_H-M_alt 'P 1'
_space_group_IT_number 1
loop_
_space_group_symop_operation_xyz
'x,y,z'
loop_
_atom_site_label
_atom_site_type_symbol
_atom_site_fract_x
_atom_site_fract_y
_atom_site_fract_z
Cd1 Cd 0.000 0.000 0.000
In1 In 0.000 0.000 0.331
In2 In 0.000 0.000 0.669
Rh1 Rh 0.500 0.500 0.173
Rh2 Rh 0.500 0.500 0.500
Rh3 Rh 0.500 0.500 0.827
```

---

No. 2
Al3Cu2 | PBE | optimized geometry

Calculated values
- calculated volume (Å³/atom) = 14.975
- symmetry = P-3m1, No. 164
- calculated formation energy (eV/atom) = -0.16
- relative energy among the computed polymorphs (kJ/mol of formula units) = 0
- raw total energy (Ry per atom) = -0.2972

Geometry as CIF:
```
data_Al3Cu2
_chemical_formula_sum 'Al3 Cu2'
_cell_length_a 4.143
_cell_length_b 4.143
_cell_length_c 5.038
_cell_angle_alpha 90.00
_cell_angle_beta 90.00
_cell_angle_gamma 120.00
_space_group_name_H-M_alt 'P 1'
_space_group_IT_number 1
loop_
_space_group_symop_operation_xyz
'x,y,z'
loop_
_atom_site_label
_atom_site_type_symbol
_atom_site_fract_x
_atom_site_fract_y
_atom_site_fract_z
Al1 Al 0.000 0.000 0.000
Al2 Al 0.333 0.667 0.351
Al3 Al 0.667 0.333 0.649
Cu1 Cu 0.333 0.667 0.841
Cu2 Cu 0.667 0.333 0.159
```

---

No. 3
ScIrCl2 | PBE | optimized geometry

Calculated values
- E_form (uncorrected) (eV/atom) = -0.07
- calculated volume (Å³/atom) = 16.830
- symmetry = Fm-3m, No. 225
- relative energy among the computed polymorphs (kJ/mol of formula units) = 331
- raw total energy (Ry per atom) = -0.3522

Geometry as CIF:
```
data_ScIrCl2
_chemical_formula_sum 'Sc4 Ir4 Cl8'
_cell_length_a 6.458
_cell_length_b 6.458
_cell_length_c 6.458
_cell_angle_alpha 90.00
_cell_angle_beta 90.00
_cell_angle_gamma 90.00
_space_group_name_H-M_alt 'P 1'
_space_group_IT_number 1
loop_
_space_group_symop_operation_xyz
'x,y,z'
loop_
_atom_site_label
_atom_site_type_symbol
_atom_site_fract_x
_atom_site_fract_y
_atom_site_fract_z
Sc1 Sc 0.000 0.000 0.000
Sc2 Sc 0.000 0.500 0.500
Sc3 Sc 0.500 0.000 0.500
Sc4 Sc 0.500 0.500 0.000
Ir1 Ir 0.000 0.000 0.500
Ir2 Ir 0.000 0.500 0.000
Ir3 Ir 0.500 0.000 0.000
Ir4 Ir 0.500 0.500 0.500
Cl1 Cl 0.250 0.250 0.250
Cl2 Cl 0.250 0.250 0.750
Cl3 Cl 0.250 0.750 0.250
Cl4 Cl 0.250 0.750 0.750
Cl5 Cl 0.750 0.250 0.250
Cl6 Cl 0.750 0.250 0.750
Cl7 Cl 0.750 0.750 0.250
Cl8 Cl 0.750 0.750 0.750
```

---

No. 4
Ba2CaY | PBE | optimized geometry

Calculated values
- calculated volume (Å³/atom) = 47.273
- symmetry = P4/mmm, No. 123
- calculated formation energy (eV/atom) = 0.19
- relative energy among the computed polymorphs (kJ/mol of formula units) = 24
- raw total energy (Ry per atom) = -0.2119

Geometry as CIF:
```
data_Ba2CaY
_chemical_formula_sum 'Ba2 Ca1 Y1'
_cell_length_a 6.481
_cell_length_b 6.481
_cell_length_c 4.501
_cell_angle_alpha 90.00
_cell_angle_beta 90.00
_cell_angle_gamma 90.00
_space_group_name_H-M_alt 'P 1'
_space_group_IT_number 1
loop_
_space_group_symop_operation_xyz
'x,y,z'
loop_
_atom_site_label
_atom_site_type_symbol
_atom_site_fract_x
_atom_site_fract_y
_atom_site_fract_z
Ba1 Ba 0.000 0.500 0.000
Ba2 Ba 0.500 0.000 0.000
Ca1 Ca 0.000 0.000 0.500
Y1 Y 0.500 0.500 0.500
```

---

No. 5
CaVGaBi2 | PBE | optimized geometry

Calculated values
- calculated volume (Å³/atom) = 31.661
- symmetry = P4/mmm, No. 123
- calculated formation energy (eV/atom) = 0.34
- raw total energy (Ry per atom) = -0.2973

Geometry as CIF:
```
data_CaVGaBi2
_chemical_formula_sum 'Ca1 V1 Ga1 Bi2'
_cell_length_a 5.281
_cell_length_b 5.281
_cell_length_c 5.676
_cell_angle_alpha 90.00
_cell_angle_beta 90.00
_cell_angle_gamma 90.00
_space_group_name_H-M_alt 'P 1'
_space_group_IT_number 1
loop_
_space_group_symop_operation_xyz
'x,y,z'
loop_
_atom_site_label
_atom_site_type_symbol
_atom_site_fract_x
_atom_site_fract_y
_atom_site_fract_z
Ca1 Ca 0.000 0.000 0.000
V1 V 0.000 0.000 0.500
Ga1 Ga 0.500 0.500 0.000
Bi1 Bi 0.000 0.500 0.500
Bi2 Bi 0.500 0.000 0.500
```